This record from the Alexandria database describes a relaxed Li4PmEr3Se8 crystal. The functional is PBE-GGA.

a = 8.146 Å, b = 8.026 Å, c = 8.145 Å
α = 120.52°, β = 120.01°, γ = 90.00°
Sites, in units of the cell vectors:
Se  0.745  0.246  0.490
Se  0.255  0.754  0.510
Se  0.744  0.754  0.999
Se  0.255  0.754  0.999
Se  0.750  0.750  0.500
Se  0.745  0.246  0.001
Se  0.250  0.250  0.500
Se  0.256  0.246  0.001
Li  0.500  0.000  0.500
Li  0.000  0.000  0.500
Li  0.000  0.000  0.000
Li  0.500  0.000  0.000
Pm  0.000  0.500  0.000
Er  0.000  0.500  0.500
Er  0.500  0.500  0.500
Er  0.500  0.500  0.000

Calculated volume ... 23.34 A^3/atom
Formation energy without anion corrections ... -1.688 eV per atom
Raw total energy ... -5.0610 eV/atom